Record 1
{"formula": "MgZn2AuC", "functional": "PBE", "state": "relaxed", "lattice": [[-3.5156, 0.4634, 3.3357], [2.1857, -3.7125, 2.8193], [2.6590, 3.3412, 2.3382]], "species": ["C", "Zn", "Zn", "Au", "Mg"], "fractional_positions": [[0.5000, 0.5000, 0.5000], [0.0000, 0.0000, 0.5000], [0.5000, 0.0000, 0.0000], [0.0000, 0.0000, 0.0000], [0.0000, 0.5000, 0.0000]], "n_ef_per_ev_fu": 2.02, "space_group": "P4/mmm (123)", "e_form_ev_per_atom": 1.286}

=====

Record 2
{"formula": "K2W3Cl9", "functional": "PBE", "state": "relaxed", "lattice": [[-8.9937, 0.3979, -3.2444], [5.3897, -0.2507, -8.3223], [-0.0375, -8.0720, 5.7631]], "species": ["K", "K", "K", "K", "W", "W", "W", "W", "W", "W", "Cl", "Cl", "Cl", "Cl", "Cl", "Cl", "Cl", "Cl", "Cl", "Cl", "Cl", "Cl", "Cl", "Cl", "Cl", "Cl", "Cl", "Cl"], "fractional_positions": [[0.1724, 0.5440, 0.2274], [0.8276, 0.7726, 0.4560], [0.8276, 0.4560, 0.7726], [0.1724, 0.2274, 0.5440], [0.3947, 0.1322, 0.1322], [0.6053, 0.8678, 0.8678], [0.6223, 0.0401, 0.2180], [0.3777, 0.7820, 0.9599], [0.3777, 0.9599, 0.7820], [0.6223, 0.2180, 0.0401], [0.5000, 0.2099, 0.7901], [0.1847, 0.5079, 0.8932], [0.1847, 0.8932, 0.5079], [0.8153, 0.4921, 0.1068], [0.7703, 0.7300, 0.7300], [0.2297, 0.2700, 0.2700], [0.5173, 0.4127, 0.1986], [0.4827, 0.8014, 0.5873], [0.4827, 0.5873, 0.8014], [0.5173, 0.1986, 0.4127], [0.1784, 0.6929, 0.6929], [0.8035, 0.9211, 0.1149], [0.8035, 0.1149, 0.9211], [0.1965, 0.0789, 0.8851], [0.1965, 0.8851, 0.0789], [0.5000, 0.7901, 0.2099], [0.8216, 0.3071, 0.3071], [0.8153, 0.1068, 0.4921]], "n_ef_per_ev_fu": 3.37, "final_energy_ev_per_cell": -144.7, "space_group": "C2/m (12)"}

=====

Record 3
{"formula": "RbPa4Te12Au3", "functional": "PBE", "state": "relaxed", "lattice": [[9.6649, 0.0000, 0.0000], [-3.2216, 9.1122, 0.0000], [-3.2216, -4.5561, 7.8914]], "species": ["Rb", "Pa", "Pa", "Pa", "Pa", "Te", "Te", "Te", "Te", "Te", "Te", "Te", "Te", "Te", "Te", "Te", "Te", "Au", "Au", "Au"], "fractional_positions": [[0.0000, 0.0000, 0.0000], [0.5000, 0.0000, 0.0000], [0.5000, 0.5000, 0.5000], [0.0000, 0.5000, 0.0000], [0.0000, 0.0000, 0.5000], [0.3151, 0.8262, 0.1413], [0.6849, 0.1738, 0.8587], [0.6849, 0.8262, 0.5111], [0.8587, 0.6849, 0.1738], [0.8262, 0.1413, 0.3151], [0.1738, 0.4889, 0.3151], [0.4889, 0.3151, 0.1738], [0.1738, 0.8587, 0.6849], [0.3151, 0.1738, 0.4889], [0.1413, 0.3151, 0.8262], [0.8262, 0.5111, 0.6849], [0.5111, 0.6849, 0.8262], [0.0000, 0.5000, 0.5000], [0.5000, 0.5000, 0.0000], [0.5000, 0.0000, 0.5000]], "final_energy_ev_per_cell": -97.3, "space_group": "Im-3 (204)"}

=====

Record 4
{"formula": "Ba2MnI", "functional": "PBE", "state": "relaxed", "lattice": [[-1.8502, -5.1913, 2.5665], [-5.2453, -0.1732, 3.0686], [-4.7667, -2.9954, -2.2948]], "species": ["I", "Mn", "Ba", "Ba"], "fractional_positions": [[0.5000, 0.5000, 0.5000], [0.0000, 0.0000, 0.0000], [0.2500, 0.2500, 0.2500], [0.7500, 0.7500, 0.7500]], "n_ef_per_ev_fu": 7.48, "final_energy_ev_per_cell": -14.8, "space_group": "Fm-3m (225)"}

=====

Record 5
{"formula": "LiYCr2H", "functional": "PBE", "state": "relaxed", "lattice": [[-3.8360, 3.5570, -2.1442], [-1.8746, -0.0422, 3.2838], [3.0649, 4.3941, 1.8061]], "species": ["Y", "Cr", "Cr", "H", "Li"], "fractional_positions": [[0.0000, 0.0000, 0.0000], [0.0000, 0.0000, 0.5000], [0.5000, 0.0000, 0.0000], [0.0000, 0.5000, 0.0000], [0.5000, 0.5000, 0.5000]], "n_ef_per_ev_fu": 2.19, "relative_energy_ev_per_atom": 0.000, "space_group": "P4/mmm (123)"}

=====

Record 6
{"formula": "RbAgTePb", "functional": "PBE", "state": "relaxed", "lattice": [[-3.5434, 2.1607, -1.8340], [-2.1008, -3.9734, -0.6222], [-6.0202, 1.1494, 12.9855]], "species": ["Rb", "Rb", "Ag", "Ag", "Te", "Te", "Pb", "Pb"], "fractional_positions": [[0.7500, 0.7500, 0.2385], [0.2500, 0.2500, 0.7615], [0.7500, 0.2500, 0.0000], [0.2500, 0.7500, 0.0000], [0.7500, 0.7500, 0.8760], [0.2500, 0.2500, 0.1240], [0.2500, 0.7500, 0.5000], [0.7500, 0.2500, 0.5000]], "n_ef_per_ev_fu": 2.05, "final_energy_ev_per_cell": -23.7, "space_group": "P4/nmm (129)"}

=====

Record 7
{"formula": "CsSnPbSe3", "functional": "PBE", "state": "relaxed", "lattice": [[5.0259, 0.0000, 0.0000], [0.0000, 8.9518, 0.4124], [0.0000, -3.9476, 9.6270]], "species": ["Cs", "Cs", "Sn", "Sn", "Pb", "Pb", "Se", "Se", "Se", "Se", "Se", "Se"], "fractional_positions": [[0.2500, 0.2453, 0.2614], [0.7500, 0.7547, 0.7386], [0.2500, 0.1555, 0.6370], [0.7500, 0.8445, 0.3630], [0.2500, 0.6729, 0.1030], [0.7500, 0.3271, 0.8970], [0.7500, 0.9175, 0.1418], [0.2500, 0.0825, 0.8582], [0.2500, 0.8128, 0.4501], [0.7500, 0.1872, 0.5499], [0.7500, 0.5105, 0.1881], [0.2500, 0.4895, 0.8119]], "n_ef_per_ev_fu": 0.59, "final_energy_ev_per_cell": -46.0, "space_group": "P2_1/m (11)"}

=====

Record 8
{"formula": "KSc2SnB", "functional": "PBE", "state": "relaxed", "lattice": [[5.5599, 0.0000, 0.0000], [0.0000, 4.6876, 0.0000], [0.0000, 0.0000, 5.5599]], "species": ["Sc", "Sc", "K", "B", "Sn"], "fractional_positions": [[0.0000, 0.0000, 0.5000], [0.5000, 0.0000, 0.0000], [0.5000, 0.5000, 0.5000], [0.0000, 0.5000, 0.0000], [0.0000, 0.0000, 0.0000]], "n_ef_per_ev_fu": 2.26, "space_group": "P4/mmm (123)", "e_form_ev_per_atom": 0.975}

=====

Record 9
{"formula": "SrNiBr2", "functional": "PBE", "state": "relaxed", "lattice": [[-1.8368, 2.4587, -4.4680], [-3.3827, -4.2297, -0.2230], [-5.4341, 1.1745, -0.1284]], "species": ["Br", "Br", "Ni", "Sr"], "fractional_positions": [[0.0000, 0.0000, 0.0000], [0.5000, 0.5000, 0.0000], [0.5000, 0.0000, 0.5000], [0.0000, 0.5000, 0.5000]], "n_ef_per_ev_fu": 1.68, "relative_energy_ev_per_atom": 0.392, "space_group": "C2/m (12)"}

=====

Record 10
{"formula": "CaAcPb4", "functional": "PBE", "state": "relaxed", "lattice": [[4.9040, 0.0000, -1.0055], [0.0000, 7.1051, 0.0000], [-0.1771, 0.0000, 11.5983]], "species": ["Ca", "Ca", "Ac", "Ac", "Pb", "Pb", "Pb", "Pb", "Pb", "Pb", "Pb", "Pb"], "fractional_positions": [[0.7269, 0.2500, 0.4538], [0.2731, 0.7500, 0.5462], [0.4202, 0.2500, 0.8403], [0.5798, 0.7500, 0.1597], [0.0000, 0.0000, 0.0000], [0.0000, 0.5000, 0.0000], [0.1558, 0.0191, 0.3116], [0.8442, 0.5191, 0.6884], [0.1558, 0.4809, 0.3116], [0.8442, 0.9809, 0.6884], [0.5794, 0.2500, 0.1588], [0.4206, 0.7500, 0.8412]], "n_ef_per_ev_fu": 3.48, "relative_energy_ev_per_atom": 0.000, "space_group": "Cmcm (63)", "e_form_ev_per_atom": -0.376}

=====

Record 11
{"formula": "CsNaCl", "functional": "PBE", "state": "relaxed", "lattice": [[4.4325, 0.0000, -0.0023], [0.0000, 5.4133, 0.0000], [-2.1830, 0.0000, 10.5013]], "species": ["Cs", "Cs", "Na", "Na", "Cl", "Cl"], "fractional_positions": [[0.4208, 0.2500, 0.3455], [0.5792, 0.7500, 0.6545], [0.2110, 0.2500, 0.9187], [0.7890, 0.7500, 0.0813], [0.0763, 0.2500, 0.6483], [0.9237, 0.7500, 0.3517]], "n_ef_per_ev_fu": 0.45, "relative_energy_ev_per_atom": 0.022, "space_group": "P2_1/m (11)"}

=====

Record 12
{"formula": "TbPm6Dy2Th", "functional": "PBE", "state": "relaxed", "lattice": [[-8.4549, -0.2107, 4.8286], [-2.9632, -4.9477, -6.6941], [4.4618, -4.2423, 6.3378]], "species": ["Tb", "Tb", "Pm", "Pm", "Pm", "Pm", "Pm", "Pm", "Pm", "Pm", "Pm", "Pm", "Pm", "Pm", "Dy", "Dy", "Dy", "Dy", "Th", "Th"], "fractional_positions": [[0.2500, 0.4072, 0.5928], [0.7500, 0.5928, 0.4072], [0.0575, 0.1106, 0.7577], [0.4425, 0.2423, 0.8894], [0.9425, 0.8894, 0.2423], [0.5575, 0.7577, 0.1106], [0.3137, 0.9874, 0.4255], [0.1863, 0.5745, 0.0126], [0.6863, 0.0126, 0.5745], [0.8137, 0.4255, 0.9874], [0.1190, 0.7026, 0.4874], [0.3810, 0.5126, 0.2974], [0.8810, 0.2974, 0.5126], [0.6190, 0.4874, 0.7026], [0.4499, 0.8007, 0.7090], [0.0501, 0.2910, 0.1993], [0.5501, 0.1993, 0.2910], [0.9499, 0.7090, 0.8007], [0.2500, 0.9715, 0.0285], [0.7500, 0.0285, 0.9715]], "n_ef_per_ev_fu": 14.39, "space_group": "C2/c (15)", "e_form_ev_per_atom": 0.145}

=====

Record 13
{"formula": "UTcPt2", "functional": "PBE", "state": "relaxed", "lattice": [[-2.8246, 0.3771, 3.2777], [2.5637, -1.8116, 2.4178], [1.5771, 3.5071, 0.9556]], "species": ["U", "Tc", "Pt", "Pt"], "fractional_positions": [[0.5000, 0.0000, 0.0000], [0.5000, 0.5000, 0.5000], [0.0000, 0.0000, 0.5000], [0.0000, 0.5000, 0.0000]], "n_ef_per_ev_fu": 4.62, "space_group": "P4/mmm (123)", "e_form_ev_per_atom": -0.610}

=====

Record 14
{"formula": "Cd2BiPd", "functional": "PBE", "state": "relaxed", "lattice": [[8.2125, 0.0000, 0.0000], [0.0000, 8.2125, 0.0000], [4.1062, 4.1062, 2.8620]], "species": ["Bi", "Bi", "Pd", "Pd", "Cd", "Cd", "Cd", "Cd"], "fractional_positions": [[0.0000, 0.0000, 0.0000], [0.7500, 0.2500, 0.5000], [0.5000, 0.5000, 0.0000], [0.2500, 0.7500, 0.5000], [0.5852, 0.1250, 0.2500], [0.1648, 0.6250, 0.2500], [0.3750, 0.4148, 0.7500], [0.8750, 0.8352, 0.7500]], "n_ef_per_ev_fu": 2.41, "space_group": "I-42d (122)", "e_form_ev_per_atom": 0.018}

=====

Record 15
{"formula": "La3YIn2", "functional": "PBE", "state": "relaxed", "lattice": [[-3.9643, -0.0347, 3.5466], [1.8021, -6.3832, 1.9517], [6.3822, 3.9950, 7.1728]], "species": ["La", "La", "La", "La", "La", "La", "Y", "Y", "In", "In", "In", "In"], "fractional_positions": [[0.0000, 0.4327, 0.9525], [0.0000, 0.9327, 0.0475], [0.5000, 0.6988, 0.1834], [0.5000, 0.1988, 0.8166], [0.0000, 0.3158, 0.3191], [0.0000, 0.8158, 0.6809], [0.5000, 0.5472, 0.5411], [0.5000, 0.0472, 0.4589], [0.5000, 0.7073, 0.8573], [0.5000, 0.2073, 0.1427], [0.0000, 0.2984, 0.6299], [0.0000, 0.7984, 0.3701]], "n_ef_per_ev_fu": 7.14, "relative_energy_ev_per_atom": 0.000, "space_group": "Pmc2_1 (26)", "e_form_ev_per_atom": -0.369}

=====

Record 16
{"formula": "SbTe2SeF", "functional": "PBE", "state": "relaxed", "lattice": [[5.5373, 0.0000, 0.0000], [0.0000, 5.5373, 0.0000], [0.0000, 0.0000, 4.2553]], "species": ["Sb", "Te", "Te", "Se", "F"], "fractional_positions": [[0.0000, 0.0000, 0.5000], [0.0000, 0.5000, 0.0000], [0.5000, 0.0000, 0.0000], [0.5000, 0.5000, 0.5000], [0.0000, 0.0000, 0.0000]], "n_ef_per_ev_fu": 3.02, "relative_energy_ev_per_atom": 0.000, "space_group": "P4/mmm (123)"}

=====

Record 17
{"formula": "HoLuMgRh", "functional": "PBE", "state": "relaxed", "lattice": [[-2.0671, -0.6521, 4.4910], [1.0480, -4.0874, 2.6574], [2.8032, 0.3485, 4.1094]], "species": ["Mg", "Lu", "Rh", "Ho"], "fractional_positions": [[0.0000, 0.0000, 0.0000], [0.7500, 0.7500, 0.7500], [0.5000, 0.5000, 0.5000], [0.2500, 0.2500, 0.2500]], "n_ef_per_ev_fu": 2.18, "space_group": "F-43m (216)", "e_form_ev_per_atom": -0.443}

=====

Record 18
{"formula": "Dy2HoSnC", "functional": "PBE", "state": "relaxed", "lattice": [[4.8643, 0.0000, 0.0000], [0.0000, 4.8911, 0.0000], [0.0000, 0.0000, 4.8911]], "species": ["Dy", "Dy", "Ho", "Sn", "C"], "fractional_positions": [[0.0000, 0.0000, 0.5000], [0.0000, 0.5000, 0.0000], [0.5000, 0.0000, 0.0000], [0.5000, 0.5000, 0.5000], [0.0000, 0.0000, 0.0000]], "n_ef_per_ev_fu": 2.18, "space_group": "P4/mmm (123)", "e_form_ev_per_atom": -0.635}